# Zr12ZnCd3 | the Alexandria database | PBE | optimized geometry
# D(E_F)	17.51	states/eV/cell
# E	-6.753	eV/atom
# calculated volume	21.82	A^3/atom
data_Zr12ZnCd3
_symmetry_space_group_name_H-M 'P 4/m m m'
_symmetry_Int_Tables_number 123
_symmetry_space_group_name_Hall '-P 4 2'
_cell_length_a 4.435
_cell_length_b 4.435
_cell_length_c 17.751
_cell_angle_alpha 90.00
_cell_angle_beta 90.00
_cell_angle_gamma 90.00
loop_
_atom_site_label
_atom_site_fract_x
_atom_site_fract_y
_atom_site_fract_z
Zr1 0.000 0.000 0.000
Zr2 0.000 0.000 0.247
Zr3 0.000 0.000 0.500
Zr4 0.000 0.500 0.120
Zr5 0.000 0.500 0.373
Zn1 0.500 0.500 0.000
Cd1 0.500 0.500 0.247
Cd2 0.500 0.500 0.500